Pm3CuPt2 | PBE-GGA | relaxed

It has space group C2/c (No. 15), with a = 13.2472 Å, b = 5.9042 Å, c = 8.3486 Å, α = 90.00°, β = 108.33° and γ = 90.00°. The distinct sites, in fractional coordinates, are Pm at (0.0000, 0.0017, 0.2500), Pm at (0.1732, 0.4999, 0.0868), Cu at (0.0000, 0.4981, 0.7500) and Pt at (0.1645, 0.9999, 0.0823).

For the formation energy, the calculation gives -0.730 eV/atom. Its crystal system is monoclinic. Its energy above the most stable polymorph in this dataset is 0.110 eV per atom. For the raw total energy, the calculation gives -139.24 eV per cell.